(1)
Crystalline LiMn2O2 at its relaxed geometry, computed with GGA+U.

Output
E_tot in eV/atom: -6.6276

Cell and atoms, written as CIF:
```
data_LiMn2O2
_symmetry_space_group_name_H-M 'P 3 m 1'
_symmetry_Int_Tables_number 156
_cell_length_a 3.2215
_cell_length_b 3.2215
_cell_length_c 8.0210
_cell_angle_alpha 90.00
_cell_angle_beta 90.00
_cell_angle_gamma 120.00
loop_
_symmetry_equiv_pos_as_xyz
'x,y,z'
'-y,x-y,z'
'-x+y,-x,z'
'-y,-x,z'
'-x+y,y,z'
'x,x-y,z'
loop_
_atom_site_label
_atom_site_fract_x
_atom_site_fract_y
_atom_site_fract_z
_atom_site_occupancy
Li1 0.0000 0.0000 0.0000 1
Mn1 0.3333 0.6667 0.3589 1
Mn2 0.6667 0.3333 0.7325 1
O1 0.3333 0.6667 0.8631 1
O2 0.6667 0.3333 0.4813 1
```

(2)
Crystalline Li7Mn5O12 at its relaxed geometry, computed with GGA+U.

Output
E_tot in eV/atom: -6.3906

Cell and atoms, written as CIF:
```
data_Li7Mn5O12
_symmetry_space_group_name_H-M 'P -1'
_symmetry_Int_Tables_number 2
_cell_length_a 5.0559
_cell_length_b 5.0559
_cell_length_c 9.9082
_cell_angle_alpha 86.87
_cell_angle_beta 78.80
_cell_angle_gamma 62.37
loop_
_symmetry_equiv_pos_as_xyz
'x,y,z'
'-x,-y,-z'
loop_
_atom_site_label
_atom_site_fract_x
_atom_site_fract_y
_atom_site_fract_z
_atom_site_occupancy
Li1 0.0000 0.0000 0.0000 1
Li2 0.0836 0.3245 0.7532 1
Li3 0.2427 0.0017 0.2469 1
Li4 0.4164 0.6652 0.7573 1
Mn1 0.1666 0.6664 0.5009 1
Mn2 0.3321 0.3321 0.0000 1
Mn3 0.5000 0.0000 0.5000 1
O1 0.0498 0.6296 0.8907 1
O2 0.1529 0.9734 0.6207 1
O3 0.1789 0.3600 0.3823 1
O4 0.3177 0.6450 0.1119 1
O5 0.4065 0.9867 0.8907 1
O6 0.4888 0.3051 0.6170 1
```

(3)
Crystalline Li3Mn2O5 at its relaxed geometry, computed with GGA+U.

Output
E_tot in eV/atom: -6.3104

Cell and atoms, written as CIF:
```
data_Li3Mn2O5
_symmetry_space_group_name_H-M 'C 1 2/m 1'
_symmetry_Int_Tables_number 12
_cell_length_a 13.1484
_cell_length_b 2.8894
_cell_length_c 9.8797
_cell_angle_alpha 90.00
_cell_angle_beta 103.47
_cell_angle_gamma 90.00
loop_
_symmetry_equiv_pos_as_xyz
'x,y,z'
'-x,-y,-z'
'-x,y,-z'
'x,-y,z'
'x+1/2,y+1/2,z'
'-x+1/2,-y+1/2,-z'
'-x+1/2,y+1/2,-z'
'x+1/2,-y+1/2,z'
loop_
_atom_site_label
_atom_site_fract_x
_atom_site_fract_y
_atom_site_fract_z
_atom_site_occupancy
Li1 0.0000 0.0000 0.0000 1
Li2 0.0000 0.5000 0.5000 1
Li3 0.0943 0.0000 0.2912 1
Li4 0.1935 0.5000 0.0977 1
Mn1 0.0906 0.5000 0.8077 1
Mn2 0.1987 0.0000 0.6041 1
O1 0.0392 0.5000 0.1547 1
O2 0.0512 0.0000 0.6699 1
O3 0.1452 0.0000 0.9348 1
O4 0.1523 0.5000 0.4688 1
O5 0.2375 0.5000 0.7438 1
```

(4)
Crystalline Li7Mn5O12 at its relaxed geometry, computed with GGA+U.

Output
E_tot in eV/atom: -6.3800

Cell and atoms, written as CIF:
```
data_Li7Mn5O12
_symmetry_space_group_name_H-M 'P 1'
_symmetry_Int_Tables_number 1
_cell_length_a 5.0877
_cell_length_b 6.0311
_cell_length_c 7.6610
_cell_angle_alpha 81.62
_cell_angle_beta 77.23
_cell_angle_gamma 76.62
loop_
_symmetry_equiv_pos_as_xyz
'x,y,z'
loop_
_atom_site_label
_atom_site_fract_x
_atom_site_fract_y
_atom_site_fract_z
_atom_site_occupancy
Li1 0.0000 0.0000 0.0000 1
Li2 0.0003 0.1451 0.3477 1
Li3 0.4898 0.1634 0.8362 1
Li4 0.9657 0.3334 0.6750 1
Li5 0.9699 0.5236 0.9911 1
Li6 0.9787 0.8426 0.6740 1
Li7 0.9846 0.6676 0.3385 1
Mn1 0.4804 0.3375 0.1676 1
Mn2 0.4810 0.6675 0.8385 1
Mn3 0.4814 0.8437 0.1687 1
Mn4 0.4837 0.4920 0.5111 1
Mn5 0.4906 0.9987 0.5088 1
O1 0.2486 0.6870 0.0768 1
O2 0.2505 0.3468 0.4137 1
O3 0.2527 0.5080 0.7526 1
O4 0.2586 0.8431 0.4094 1
O5 0.2688 0.1417 0.1021 1
O6 0.2702 0.9633 0.7516 1
O7 0.6890 0.5317 0.2527 1
O8 0.6965 0.3691 0.9271 1
O9 0.7081 0.8265 0.9313 1
O10 0.7170 0.6472 0.6027 1
O11 0.7180 0.9888 0.2571 1
O12 0.7282 0.1557 0.5790 1
```

(5)
Crystalline LiMnO2 at its relaxed geometry, computed with GGA+U.

Output
E_tot in eV/atom: -6.2098

Cell and atoms, written as CIF:
```
data_LiMnO2
_symmetry_space_group_name_H-M 'R 3 m'
_symmetry_Int_Tables_number 160
_symmetry_space_group_name_Hall 'R 3 -2"'
_cell_length_a 2.8571
_cell_length_b 2.8571
_cell_length_c 15.1842
_cell_angle_alpha 90.00
_cell_angle_beta 90.00
_cell_angle_gamma 120.00
loop_
_atom_site_label
_atom_site_fract_x
_atom_site_fract_y
_atom_site_fract_z
_atom_site_occupancy
Li1 0.0000 0.0000 0.0000 1
Mn1 0.0000 0.0000 0.1727 1
O1 0.0000 0.0000 0.5795 1
O2 0.0000 0.0000 0.7667 1
```

(6)
Crystalline LiMn2O at its relaxed geometry, computed with GGA+U.

Output
E_tot in eV/atom: -5.9020

Cell and atoms, written as CIF:
```
data_LiMn2O
_symmetry_space_group_name_H-M 'I -4 2 d'
_symmetry_Int_Tables_number 122
_symmetry_space_group_name_Hall 'I -4 2bw'
_cell_length_a 7.9959
_cell_length_b 7.9959
_cell_length_c 3.8143
_cell_angle_alpha 90.00
_cell_angle_beta 90.00
_cell_angle_gamma 90.00
loop_
_atom_site_label
_atom_site_fract_x
_atom_site_fract_y
_atom_site_fract_z
_atom_site_occupancy
Li1 0.0000 0.0000 0.0000 1
Mn1 0.1056 0.2500 0.6250 1
O1 0.0000 0.0000 0.5000 1
```

(7)
Crystalline Li5Mn3O8 at its relaxed geometry, computed with GGA+U.

Output
E_tot in eV/atom: -6.1784

Cell and atoms, written as CIF:
```
data_Li5Mn3O8
_symmetry_space_group_name_H-M 'P -1'
_symmetry_Int_Tables_number 2
_cell_length_a 2.9008
_cell_length_b 5.0689
_cell_length_c 9.7531
_cell_angle_alpha 101.16
_cell_angle_beta 90.28
_cell_angle_gamma 90.04
loop_
_symmetry_equiv_pos_as_xyz
'x,y,z'
'-x,-y,-z'
loop_
_atom_site_label
_atom_site_fract_x
_atom_site_fract_y
_atom_site_fract_z
_atom_site_occupancy
Li1 0.0000 0.0000 0.0000 1
Li2 0.0000 0.5000 0.5000 1
Li3 0.4975 0.2454 0.2586 1
Li4 0.5000 0.0000 0.5000 1
Mn1 0.0028 0.2377 0.7428 1
Mn2 0.5000 0.5000 0.0000 1
O1 0.0021 0.9006 0.6366 1
O2 0.0114 0.5998 0.8825 1
O3 0.4928 0.8541 0.1334 1
O4 0.4963 0.6364 0.3590 1
```

(8)
Crystalline Li3Mn2O5 at its relaxed geometry, computed with GGA+U.

Output
E_tot in eV/atom: -6.1846

Cell and atoms, written as CIF:
```
data_Li3Mn2O5
_symmetry_space_group_name_H-M 'C 1 2/m 1'
_symmetry_Int_Tables_number 12
_cell_length_a 5.0725
_cell_length_b 3.1117
_cell_length_c 24.5201
_cell_angle_alpha 90.00
_cell_angle_beta 90.58
_cell_angle_gamma 90.00
loop_
_symmetry_equiv_pos_as_xyz
'x,y,z'
'-x,-y,-z'
'-x,y,-z'
'x,-y,z'
'x+1/2,y+1/2,z'
'-x+1/2,-y+1/2,-z'
'-x+1/2,y+1/2,-z'
'x+1/2,-y+1/2,z'
loop_
_atom_site_label
_atom_site_fract_x
_atom_site_fract_y
_atom_site_fract_z
_atom_site_occupancy
Li1 0.0000 0.0000 0.0000 1
Li2 0.0000 0.0000 0.5000 1
Li3 0.2146 0.5000 0.3009 1
Li4 0.2277 0.5000 0.0804 1
Mn1 0.0719 0.0000 0.2010 1
Mn2 0.1424 0.5000 0.5995 1
O1 0.0452 0.0000 0.3550 1
O2 0.1122 0.5000 0.7530 1
O3 0.1164 0.5000 0.9541 1
O4 0.1699 0.5000 0.4461 1
O5 0.2450 0.5000 0.1612 1
```

(9)
Crystalline Li5MnO4 at its relaxed geometry, computed with GGA+U.

Output
E_tot in eV/atom: -5.4402

Cell and atoms, written as CIF:
```
data_Li5MnO4
_symmetry_space_group_name_H-M 'P m m n'
_symmetry_Int_Tables_number 59
_cell_length_a 6.6258
_cell_length_b 6.7643
_cell_length_c 4.5367
_cell_angle_alpha 90.00
_cell_angle_beta 90.00
_cell_angle_gamma 90.00
loop_
_symmetry_equiv_pos_as_xyz
'x,y,z'
'-x,-y,-z'
'-x+1/2,-y+1/2,z'
'x+1/2,y+1/2,-z'
'x+1/2,-y,-z'
'-x+1/2,y,z'
'-x,y+1/2,-z'
'x,-y+1/2,z'
loop_
_atom_site_label
_atom_site_fract_x
_atom_site_fract_y
_atom_site_fract_z
_atom_site_occupancy
Li1 0.0093 0.0516 0.2482 1
Li2 0.2500 0.7500 0.3049 1
Mn1 0.2500 0.2500 0.7318 1
O1 0.0039 0.7500 0.0748 1
O2 0.2500 0.0012 0.5288 1
```

(10)
Crystalline Li4MnO3 at its relaxed geometry, computed with GGA+U.

Output
E_tot in eV/atom: -5.4785

Cell and atoms, written as CIF:
```
data_Li4MnO3
_symmetry_space_group_name_H-M 'P -1'
_symmetry_Int_Tables_number 2
_cell_length_a 4.7340
_cell_length_b 5.8338
_cell_length_c 6.8938
_cell_angle_alpha 72.30
_cell_angle_beta 89.97
_cell_angle_gamma 66.09
loop_
_symmetry_equiv_pos_as_xyz
'x,y,z'
'-x,-y,-z'
loop_
_atom_site_label
_atom_site_fract_x
_atom_site_fract_y
_atom_site_fract_z
_atom_site_occupancy
Li1 0.0413 0.3567 0.3766 1
Li2 0.1523 0.2961 0.0006 1
Li3 0.3978 0.6438 0.1232 1
Li4 0.4479 0.7035 0.5005 1
Mn1 0.2325 0.0004 0.7499 1
O1 0.1651 0.6415 0.3557 1
O2 0.1937 0.6415 0.8556 1
O3 0.5000 0.0000 0.0000 1
O4 0.5000 0.0000 0.5000 1
```

(11)
Crystalline LiMn4O6 at its relaxed geometry, computed with GGA+U.

Output
E_tot in eV/atom: -7.1786

Cell and atoms, written as CIF:
```
data_LiMn4O6
_symmetry_space_group_name_H-M 'C 1 c 1'
_symmetry_Int_Tables_number 9
_cell_length_a 8.9544
_cell_length_b 6.1187
_cell_length_c 9.5709
_cell_angle_alpha 90.00
_cell_angle_beta 110.88
_cell_angle_gamma 90.00
loop_
_symmetry_equiv_pos_as_xyz
'x,y,z'
'x,-y,z+1/2'
'x+1/2,y+1/2,z'
'x+1/2,-y+1/2,z+1/2'
loop_
_atom_site_label
_atom_site_fract_x
_atom_site_fract_y
_atom_site_fract_z
_atom_site_occupancy
Li1 0.0000 0.1097 0.0000 1
Mn1 0.0001 0.3552 0.4995 1
Mn2 0.1701 0.3466 0.8469 1
Mn3 0.2502 0.2505 0.2496 1
Mn4 0.3299 0.1528 0.6523 1
O1 0.0450 0.3765 0.1473 1
O2 0.1225 0.1346 0.6778 1
O3 0.2339 0.3574 0.4475 1
O4 0.2664 0.1429 0.0518 1
O5 0.3773 0.3651 0.8211 1
O6 0.4552 0.1240 0.3521 1
```

(12)
Crystalline Li12Mn2O9 at its relaxed geometry, computed with GGA+U.

Output
E_tot in eV/atom: -5.3372

Cell and atoms, written as CIF:
```
data_Li12Mn2O9
_symmetry_space_group_name_H-M 'P 1'
_symmetry_Int_Tables_number 1
_cell_length_a 5.6725
_cell_length_b 5.7598
_cell_length_c 8.1567
_cell_angle_alpha 87.69
_cell_angle_beta 87.17
_cell_angle_gamma 62.30
loop_
_symmetry_equiv_pos_as_xyz
'x,y,z'
loop_
_atom_site_label
_atom_site_fract_x
_atom_site_fract_y
_atom_site_fract_z
_atom_site_occupancy
Li1 0.0000 0.0000 0.0000 1
Li2 0.0080 0.6596 0.8280 1
Li3 0.0440 0.3686 0.1360 1
Li4 0.2714 0.0944 0.8183 1
Li5 0.3200 0.9726 0.3118 1
Li6 0.3410 0.7147 0.6584 1
Li7 0.5966 0.1120 0.1425 1
Li8 0.6593 0.4074 0.3230 1
Li9 0.6740 0.9810 0.6600 1
Li10 0.6924 0.3349 0.8070 1
Li11 0.9258 0.7470 0.3214 1
Li12 0.9749 0.0606 0.5109 1
Mn1 0.2769 0.3665 0.4984 1
Mn2 0.5930 0.7058 0.0140 1
O1 0.0229 0.3337 0.3738 1
O2 0.2595 0.7020 0.4233 1
O3 0.3181 0.0408 0.0629 1
O4 0.3602 0.3586 0.7188 1
O5 0.6147 0.0777 0.4089 1
O6 0.6230 0.7126 0.7766 1
O7 0.7208 0.3488 0.0656 1
O8 0.8931 0.7451 0.0882 1
O9 0.9963 0.9977 0.7476 1
```

(13)
Crystalline Li3Mn2O5 at its relaxed geometry, computed with GGA+U.

Output
E_tot in eV/atom: -6.3116

Cell and atoms, written as CIF:
```
data_Li3Mn2O5
_symmetry_space_group_name_H-M 'C 1 2/m 1'
_symmetry_Int_Tables_number 12
_cell_length_a 22.3783
_cell_length_b 2.8680
_cell_length_c 5.7927
_cell_angle_alpha 90.00
_cell_angle_beta 97.08
_cell_angle_gamma 90.00
loop_
_symmetry_equiv_pos_as_xyz
'x,y,z'
'-x,-y,-z'
'-x,y,-z'
'x,-y,z'
'x+1/2,y+1/2,z'
'-x+1/2,-y+1/2,-z'
'-x+1/2,y+1/2,-z'
'x+1/2,-y+1/2,z'
loop_
_atom_site_label
_atom_site_fract_x
_atom_site_fract_y
_atom_site_fract_z
_atom_site_occupancy
Li1 0.0000 0.0000 0.0000 1
Li2 0.0000 0.0000 0.5000 1
Li3 0.0819 0.5000 0.2857 1
Li4 0.1875 0.0000 0.0964 1
Mn1 0.0901 0.5000 0.7939 1
Mn2 0.1953 0.0000 0.5920 1
O1 0.0085 0.5000 0.7551 1
O2 0.0948 0.0000 0.5650 1
O3 0.0964 0.0000 0.0224 1
O4 0.1864 0.5000 0.8199 1
O5 0.2008 0.5000 0.3637 1
```

(14)
Crystalline Li7Mn11O24 at its relaxed geometry, computed with GGA+U.

Output
E_tot in eV/atom: -6.7113

Cell and atoms, written as CIF:
```
data_Li7Mn11O24
_symmetry_space_group_name_H-M 'C 1 2/m 1'
_symmetry_Int_Tables_number 12
_cell_length_a 10.6346
_cell_length_b 5.8070
_cell_length_c 14.3121
_cell_angle_alpha 90.00
_cell_angle_beta 90.70
_cell_angle_gamma 90.00
loop_
_symmetry_equiv_pos_as_xyz
'x,y,z'
'-x,-y,-z'
'-x,y,-z'
'x,-y,z'
'x+1/2,y+1/2,z'
'-x+1/2,-y+1/2,-z'
'-x+1/2,y+1/2,-z'
'x+1/2,-y+1/2,z'
loop_
_atom_site_label
_atom_site_fract_x
_atom_site_fract_y
_atom_site_fract_z
_atom_site_occupancy
Li1 0.0000 0.0000 0.0000 1
Li2 0.1321 0.5000 0.7993 1
Li3 0.1492 0.0000 0.1556 1
Li4 0.1516 0.5000 0.5470 1
Mn1 0.0000 0.0000 0.5000 1
Mn2 0.1016 0.2486 0.3332 1
Mn3 0.1511 0.0000 0.6747 1
Mn4 0.1701 0.5000 0.1582 1
Mn5 0.2500 0.2500 0.0000 1
O1 0.0346 0.0000 0.2596 1
O2 0.0368 0.5000 0.2533 1
O3 0.0553 0.2265 0.5952 1
O4 0.1087 0.2663 0.0832 1
O5 0.1680 0.0000 0.4081 1
O6 0.1684 0.5000 0.4071 1
O7 0.1837 0.0000 0.9221 1
O8 0.1909 0.5000 0.9244 1
O9 0.2495 0.2721 0.2534 1
```

(15)
Crystalline Li7Mn5O12 at its relaxed geometry, computed with GGA+U.

Output
E_tot in eV/atom: -6.3807

Cell and atoms, written as CIF:
```
data_Li7Mn5O12
_symmetry_space_group_name_H-M 'P -1'
_symmetry_Int_Tables_number 2
_cell_length_a 5.0919
_cell_length_b 6.4245
_cell_length_c 7.0339
_cell_angle_alpha 84.09
_cell_angle_beta 78.71
_cell_angle_gamma 83.08
loop_
_symmetry_equiv_pos_as_xyz
'x,y,z'
'-x,-y,-z'
loop_
_atom_site_label
_atom_site_fract_x
_atom_site_fract_y
_atom_site_fract_z
_atom_site_occupancy
Li1 0.0000 0.0000 0.0000 1
Li2 0.2216 0.2507 0.2180 1
Li3 0.2388 0.9199 0.5666 1
Li4 0.2499 0.5871 0.9174 1
Mn1 0.0044 0.3277 0.6811 1
Mn2 0.4998 0.1638 0.8443 1
Mn3 0.5000 0.5000 0.5000 1
O1 0.1355 0.9420 0.2899 1
O2 0.1399 0.6076 0.6229 1
O3 0.1514 0.2843 0.9513 1
O4 0.3619 0.5598 0.2104 1
O5 0.3842 0.2101 0.5821 1
O6 0.3995 0.8812 0.9013 1
```